A plane-wave DFT calculation with GGA-PBE was carried out for ReSe2 after structural relaxation.

Geometry as CIF:
```
data_ReSe2
_chemical_formula_sum 'Re4 Se8'
_symmetry_space_group_name_H-M 'P -6 m 2'
_symmetry_Int_Tables_number 187
_symmetry_space_group_name_Hall 'P -6 2'
_cell_length_a 3.4395
_cell_length_b 3.4395
_cell_length_c 26.3369
_cell_angle_alpha 90.00
_cell_angle_beta 90.00
_cell_angle_gamma 120.00
loop_
_atom_site_label
_atom_site_type_symbol
_atom_site_fract_x
_atom_site_fract_y
_atom_site_fract_z
Re1 Re 0.0000 0.0000 0.0000
Re2 Re 0.0000 0.0000 0.2521
Re3 Re 0.6667 0.3333 0.5000
Se1 Se 0.0000 0.0000 0.4405
Se2 Se 0.3333 0.6667 0.1927
Se3 Se 0.3333 0.6667 0.3117
Se4 Se 0.6667 0.3333 0.0595
```

Output
**Spin magnetization**: 2.2 Bohr magnetons per cell
**Formation energy from raw total energies**: -0.102 eV/atom
**Total energy**: -6.574 eV per atom
**Calculated volume**: 67 Å³/f.u.